(1)
Here is crystalline Li2Ti3MnO8 at its relaxed geometry from the Alexandria database. Energies are from PBEsol.

abc: 5.9025 5.9025 5.9057
angles: 60.02 60.02 60.00
Atoms (fractional coordinates):
Ti 0.5000 0.5000 0.0000
Ti 0.5000 0.0000 0.0000
Ti 0.0000 0.5000 0.0000
O 0.7406 0.7406 0.2306
O 0.7118 0.2594 0.7694
O 0.7406 0.2882 0.2306
O 0.2882 0.7406 0.2306
O 0.7386 0.7386 0.7841
O 0.2594 0.2594 0.7694
O 0.2594 0.7118 0.7694
O 0.2614 0.2614 0.2159
Mn 0.5000 0.5000 0.5000
Li 0.8766 0.8766 0.3701
Li 0.1234 0.1234 0.6299

Properties
N(E_F) = 4.22 states/eV per cell
DFT total energy = -8.385 eV/atom
ΔE_f (raw) = -2624 meV per atom

---

(2)
Here is crystalline CrMo2SeBr at its relaxed geometry from the Alexandria database. Energies are from PBEsol.

abc: 4.5231 4.6976 4.6976
angles: 90.00 90.00 90.00
Atoms (fractional coordinates):
Mo 0.0000 0.5000 0.0000
Mo 0.0000 0.0000 0.5000
Cr 0.5000 0.0000 0.0000
Br 0.5000 0.5000 0.5000
Se 0.0000 0.0000 0.0000

Properties
N(E_F) = 5.17 states/eV per cell
DFT total energy = -6.597 eV/atom
ΔE_f (raw) = 1303 meV per atom

---

(3)
Here is crystalline LaHfTe2 at its relaxed geometry from the Alexandria database. Energies are from PBEsol.

abc: 5.2040 5.2040 5.2040
angles: 60.00 60.00 60.00
Atoms (fractional coordinates):
Te 0.7500 0.7500 0.7500
Te 0.2500 0.2500 0.2500
La 0.0000 0.0000 0.0000
Hf 0.5000 0.5000 0.5000

Properties
N(E_F) = 3.25 states/eV per cell
DFT total energy = -6.645 eV/atom
ΔE_f (raw) = -920 meV per atom

---

(4)
Here is crystalline KLiPb3 at its relaxed geometry from the Alexandria database. Energies are from PBEsol.

abc: 5.2890 5.2890 5.2890
angles: 90.00 90.00 90.00
Atoms (fractional coordinates):
K 0.5000 0.5000 0.5000
Li 0.0000 0.0000 0.0000
Pb 0.0000 0.5000 0.0000
Pb 0.0000 0.0000 0.5000
Pb 0.5000 0.0000 0.0000

Properties
Formation enthalpy at 0 K = -0.0195 eV/atom
N(E_F) = 1.78 states/eV per cell
DFT total energy = -3.039 eV/atom

---

(5)
Here is crystalline Rb2NaPrCl6 at its relaxed geometry from the Alexandria database. Energies are from PBEsol.

abc: 7.6372 7.6372 7.6372
angles: 60.00 60.00 60.00
Atoms (fractional coordinates):
Pr 0.0000 0.0000 0.0000
Cl 0.2508 0.7492 0.2508
Cl 0.2508 0.2508 0.7492
Cl 0.2508 0.7492 0.7492
Cl 0.7492 0.2508 0.7492
Cl 0.7492 0.2508 0.2508
Cl 0.7492 0.7492 0.2508
Rb 0.7500 0.7500 0.7500
Rb 0.2500 0.2500 0.2500
Na 0.5000 0.5000 0.5000

Properties
N(E_F) = 0.00 states/eV per cell
DFT total energy = -4.107 eV/atom
ΔE_f (raw) = -2038 meV per atom

---

(6)
Here is crystalline MnSb2As at its relaxed geometry from the Alexandria database. Energies are from PBEsol.

abc: 3.2208 3.2208 7.6890
angles: 90.00 90.00 90.00
Atoms (fractional coordinates):
Sb 0.0000 0.0000 0.9348
Sb 0.5000 0.5000 0.3001
Mn 0.5000 0.5000 0.7020
As 0.0000 0.0000 0.5630

Properties
N(E_F) = 2.44 states/eV per cell
DFT total energy = -5.894 eV/atom
ΔE_f (raw) = 102 meV per atom